Nd2HoTm, optimized geometry, DFT PBE-GGA; final energy = -18.53 eV/cell; N(E_F) = 1.084 states/eV per atom; calculated volume = 130.4 Å³ per cell; offset from the most stable computed form = 0.000 eV per atom; SG = No. 166; ΔH_f (0 K) = 14.9 meV per atom; size of the total moment = 0.0 μB/f.u.
1.0
3.600 0.000 0.000
1.800 3.118 0.000
1.800 1.039 11.621
Nd Ho Tm
2 1 1
direct
0.250 0.250 0.251 Nd
0.750 0.750 0.749 Nd
0.000 0.000 0.000 Ho
0.500 0.500 0.500 Tm